Computed, not measured: an optimized crystal structure of Sm3Mg9Pd2 at the PBE level of DFT.

Computed properties:
Total moment = 0.0 μB per formula unit
DFT formation energy = -0.240 eV per atom

Cell: 4.9626 8.5565 8.5565 Å, 78.12 73.14 73.14°
Closest atoms and distances in Å follow each position.
Atoms (fractional coordinates):
Pd (0.5000, 0.3474, 0.6526)  8 Mg 2.78-3.05, 2 Sm 3.01
Pd (0.5000, 0.6526, 0.3474)  8 Mg 2.78-3.05, 2 Sm 3.01
Mg (0.3676, 0.9934, 0.2713)  1 Pd 2.78, 4 Mg 2.91-3.04
Mg (0.6324, 0.0066, 0.7287)  1 Pd 2.78, 4 Mg 2.91-3.04
Mg (0.3676, 0.2713, 0.9934)  1 Pd 2.78, 4 Mg 2.91-3.04
Mg (0.0000, 0.5000, 0.5000)  4 Mg 2.87, 4 Pd 2.98
Mg (0.6324, 0.7287, 0.0066)  1 Pd 2.78, 4 Mg 2.91-3.04
Mg (0.1312, 0.5883, 0.1494)  4 Mg 2.87-3.04, 2 Pd 3.05
Mg (0.1312, 0.1494, 0.5883)  4 Mg 2.87-3.04, 2 Pd 3.05
Mg (0.8688, 0.4117, 0.8506)  4 Mg 2.87-3.04, 2 Pd 3.05
Mg (0.8688, 0.8506, 0.4117)  4 Mg 2.87-3.04, 2 Pd 3.05
Sm (0.7047, 0.2953, 0.2953)  2 Pd 3.01
Sm (0.2953, 0.7047, 0.7047)  2 Pd 3.01
Sm (0.0000, 0.0000, 0.0000)  12 Mg 3.33-3.43, 2 Sm 3.64